Record 1
TaMnSi2 | PBE-GGA | relaxed

a b c (Å): 3.9378 3.9378 3.6179
angles (deg): 90.00 90.00 90.00
Closest atoms and distances in Å follow each position.
Space group P4/mmm (No. 123)
Symmetry-distinct sites (fractional):
1 Ta 0.0000 0.0000 0.0000 [1 per cell]  8 Si 2.67, 4 Mn 2.78
2 Mn 0.5000 0.5000 0.0000 [1 per cell]  8 Si 2.67, 4 Ta 2.78
3 Si 0.0000 0.5000 0.5000 [2 per cell]  4 Mn 2.67, 4 Ta 2.67, 4 Si 2.78

- VASP energy (eV per atom) = -8.1169
- uncorrected formation energy (eV per atom) = -0.1498
- volume (Å³/cell) = 56.1
- Fermi-level density of states (states/eV per cell) = 2.44



Record 2
PuGaPdRh | PBE-GGA | relaxed

a b c (Å): 6.6037 6.6037 6.6037
angles (deg): 90.00 90.00 90.00
Closest atoms and distances in Å follow each position.
Space group F-43m (No. 216)
Symmetry-distinct sites (fractional):
1 Pu 0.0000 0.0000 0.0000 [4 per cell]  4 Rh 2.86, 4 Pd 2.86
2 Ga 0.0000 0.0000 0.5000 [4 per cell]  4 Rh 2.86, 4 Pd 2.86
3 Pd 0.2500 0.2500 0.7500 [4 per cell]  4 Pu 2.86, 4 Ga 2.86
4 Rh 0.2500 0.2500 0.2500 [4 per cell]  4 Ga 2.86, 4 Pu 2.86

- VASP energy (eV per atom) = -7.9599
- volume (Å³/cell) = 288.0
- Fermi-level density of states (states/eV per cell) = 34.84
- calculated formation energy (eV/f.u.) = -1.94



Record 3
FeBiI | PBE-GGA | relaxed

a b c (Å): 6.7378 4.0494 6.8182
angles (deg): 90.00 91.77 90.00
Closest atoms and distances in Å follow each position.
Space group Pm (No. 6)
Symmetry-distinct sites (fractional):
1 Fe 0.0000 0.0000 0.0000 [1 per cell]  2 Fe 2.42, 1 I 2.56
2 Fe 0.0696 0.5000 0.1845 [1 per cell]  2 Fe 2.42, 1 I 2.52, 2 Bi 2.67
3 Bi 0.1619 0.5000 0.7926 [1 per cell]  3 Fe 2.72-2.76
4 Bi 0.3175 0.0000 0.2667 [1 per cell]  3 Fe 2.67-2.76
5 I 0.6261 0.0000 0.9213 [1 per cell]  1 Fe 2.56
6 I 0.8172 0.5000 0.4501 [1 per cell]  1 Fe 2.52

- VASP energy (eV per atom) = -4.4371
- polymorph energy (0 for the lowest one) (kJ/mol of atoms) = 5.2
- uncorrected formation energy (eV per atom) = 0.1942
- volume (Å³/cell) = 185.9
- Fermi-level density of states (states/eV per cell) = 3.41



Look up the volume of the second one.
288.0 Å³/cell



What is the Fermi-level density of states in the second record?
34.84 states/eV per cell



Which of these has the lowest VASP energy?
TaMnSi2